Entry 1:
A geometry-optimized CdAg6Pd structure. Source: Alexandria, functional GGA-PBE.

Values from the calculation:
Total magnetic moment (μB/cell): 0.00
Calculated formation energy (meV per atom): -50
E above lowest polymorph (eV per atom): 0.000

Geometry as CIF:
```
data_CdAg6Pd
_chemical_formula_sum 'Cd4 Ag24 Pd4'
_space_group_name_H-M_alt 'F m m m'
_space_group_IT_number 69
_space_group_name_Hall '-F 2 2'
_cell_length_a 5.8146
_cell_length_b 8.3304
_cell_length_c 11.7541
_cell_angle_alpha 90.00
_cell_angle_beta 90.00
_cell_angle_gamma 90.00
loop_
_atom_site_label
_atom_site_type_symbol
_atom_site_fract_x
_atom_site_fract_y
_atom_site_fract_z
Cd1 Cd 0.0000 0.0000 0.0000
Ag1 Ag 0.0000 0.0000 0.2539
Ag2 Ag 0.2500 0.2500 0.1247
Pd1 Pd 0.0000 0.0000 0.5000
```



Entry 2:
A geometry-optimized NiAuBr2 structure. Source: Alexandria, functional GGA-PBE.

Values from the calculation:
Total magnetic moment (μB/cell): 2.00
Formation energy (no corrections) (eV/f.u.): 0.052
E above lowest polymorph (eV per atom): 0.022

Geometry as CIF:
```
data_NiAuBr2
_chemical_formula_sum 'Ni2 Au2 Br4'
_space_group_name_H-M_alt 'C 1 m 1'
_space_group_IT_number 8
_cell_length_a 9.3787
_cell_length_b 3.5139
_cell_length_c 6.9878
_cell_angle_alpha 90.00
_cell_angle_beta 107.41
_cell_angle_gamma 90.00
loop_
_space_group_symop_operation_xyz
'x,y,z'
'x,-y,z'
'x+1/2,y+1/2,z'
'x+1/2,-y+1/2,z'
loop_
_atom_site_label
_atom_site_type_symbol
_atom_site_fract_x
_atom_site_fract_y
_atom_site_fract_z
Ni1 Ni 0.0000 0.0000 0.0000
Au1 Au 0.2559 0.5000 0.0788
Br1 Br 0.0605 0.5000 0.2723
Br2 Br 0.4032 0.0000 0.7590
```



Entry 3:
A geometry-optimized Na3Sr3ReO8 structure. Source: Alexandria, functional GGA-PBE.

Values from the calculation:
Total magnetic moment (μB/cell): 0.21
Formation energy (no corrections) (eV/f.u.): -31.711

Geometry as CIF:
```
data_Na3Sr3ReO8
_chemical_formula_sum 'Na9 Sr9 Re3 O24'
_space_group_name_H-M_alt 'R -3 m'
_space_group_IT_number 166
_space_group_name_Hall '-R 3 2"'
_cell_length_a 7.1002
_cell_length_b 7.1002
_cell_length_c 16.7557
_cell_angle_alpha 90.00
_cell_angle_beta 90.00
_cell_angle_gamma 120.00
loop_
_atom_site_label
_atom_site_type_symbol
_atom_site_fract_x
_atom_site_fract_y
_atom_site_fract_z
Na1 Na 0.0000 0.5000 0.0000
Sr1 Sr 0.0000 0.5000 0.5000
Re1 Re 0.0000 0.0000 0.5000
O1 O 0.0000 0.0000 0.2441
O2 O 0.0763 0.5382 0.2319
```



Entry 4:
A geometry-optimized GaRh3Au structure. Source: Alexandria, functional GGA-PBE.

Values from the calculation:
Total magnetic moment (μB/cell): 1.86
Calculated formation energy (meV per atom): 775
E above lowest polymorph (eV per atom): 0.000

Geometry as CIF:
```
data_GaRh3Au
_chemical_formula_sum 'Ga1 Rh3 Au1'
_space_group_name_H-M_alt 'P m -3 m'
_space_group_IT_number 221
_space_group_name_Hall '-P 4 2 3'
_cell_length_a 4.5377
_cell_length_b 4.5377
_cell_length_c 4.5377
_cell_angle_alpha 90.00
_cell_angle_beta 90.00
_cell_angle_gamma 90.00
loop_
_atom_site_label
_atom_site_type_symbol
_atom_site_fract_x
_atom_site_fract_y
_atom_site_fract_z
Ga1 Ga 0.0000 0.0000 0.0000
Rh1 Rh 0.0000 0.0000 0.5000
Au1 Au 0.5000 0.5000 0.5000
```



Entry 5:
A geometry-optimized Pm2Ho3Er6Tm structure. Source: Alexandria, functional GGA-PBE.

Values from the calculation:
Total magnetic moment (μB/cell): 0.00
Calculated formation energy (meV per atom): 20

Geometry as CIF:
```
data_Pm2Ho3Er6Tm
_chemical_formula_sum 'Pm4 Ho6 Er12 Tm2'
_space_group_name_H-M_alt 'C 1 2/m 1'
_space_group_IT_number 12
_cell_length_a 6.1191
_cell_length_b 10.5876
_cell_length_c 11.6960
_cell_angle_alpha 90.00
_cell_angle_beta 99.99
_cell_angle_gamma 90.00
loop_
_space_group_symop_operation_xyz
'x,y,z'
'-x,-y,-z'
'-x,y,-z'
'x,-y,z'
'x+1/2,y+1/2,z'
'-x+1/2,-y+1/2,-z'
'-x+1/2,y+1/2,-z'
'x+1/2,-y+1/2,z'
loop_
_atom_site_label
_atom_site_type_symbol
_atom_site_fract_x
_atom_site_fract_y
_atom_site_fract_z
Pm1 Pm 0.0000 0.1666 0.0000
Ho1 Ho 0.0000 0.0000 0.5000
Ho2 Ho 0.0000 0.3336 0.5000
Er1 Er 0.2480 0.5000 0.7477
Er2 Er 0.2493 0.1663 0.7480
Tm1 Tm 0.0000 0.5000 0.0000
```



Entry 6:
A geometry-optimized MgOsRh5 structure. Source: Alexandria, functional GGA-PBE.

Values from the calculation:
Total magnetic moment (μB/cell): 0.00
Calculated formation energy (meV per atom): 34

Geometry as CIF:
```
data_MgOsRh5
_chemical_formula_sum 'Mg4 Os4 Rh20'
_space_group_name_H-M_alt 'C 1 2/c 1'
_space_group_IT_number 15
_cell_length_a 6.7001
_cell_length_b 7.3665
_cell_length_c 9.0748
_cell_angle_alpha 90.00
_cell_angle_beta 110.30
_cell_angle_gamma 90.00
loop_
_space_group_symop_operation_xyz
'x,y,z'
'-x,-y,-z'
'-x,y,-z+1/2'
'x,-y,z+1/2'
'x+1/2,y+1/2,z'
'-x+1/2,-y+1/2,-z'
'-x+1/2,y+1/2,-z+1/2'
'x+1/2,-y+1/2,z+1/2'
loop_
_atom_site_label
_atom_site_type_symbol
_atom_site_fract_x
_atom_site_fract_y
_atom_site_fract_z
Mg1 Mg 0.0000 0.0000 0.0000
Os1 Os 0.0000 0.4966 0.2500
Rh1 Rh 0.0000 0.1484 0.2500
Rh2 Rh 0.1077 0.3525 0.5334
Rh3 Rh 0.2043 0.1864 0.8316
```